Record 1
DFT (meta-GGA SCAN) results for Tl3AgPt at its PBEsol-relaxed geometry.

Crystal system: cubic
Final energy: -63.568 eV/atom
Size of the total moment: 0.0 μB per cell
Space-group type: Pm-3m
Calculated volume: 28.73 Å³/atom
Energy relative to the elements: 0.16 eV per atom

a = 5.237 Å, b = 5.237 Å, c = 5.237 Å
α = 90.00°, β = 90.00°, γ = 90.00°
Sites, in units of the cell vectors:
Ag (0.500, 0.500, 0.500)
Tl (0.000, 0.000, 0.500)
Tl (0.000, 0.500, 0.000)
Tl (0.500, 0.000, 0.000)
Pt (0.000, 0.000, 0.000)

=====

Record 2
DFT (meta-GGA SCAN) results for Cd2CoBr at its PBEsol-relaxed geometry.

Crystal system: orthorhombic
Final energy: -24.080 eV/atom
Size of the total moment: 1.9 μB per cell
Distance to the lowest polymorph of the same formula: 209.1 meV per atom
Space-group type: Pmmm
Formation energy without anion corrections: 30.7 kJ per mole of atoms
Calculated volume: 19.51 Å³/atom

a = 3.097 Å, b = 4.597 Å, c = 5.480 Å
α = 90.00°, β = 90.00°, γ = 90.00°
Each line ends with the local moment (μB).
Sites, in units of the cell vectors:
Co (0.500, 0.000, 0.500)  1.90
Cd (0.000, 0.000, 0.000)  -0.01
Cd (0.500, 0.500, 0.000)  0.01
Br (0.000, 0.500, 0.500)  0.02

=====

Record 3
DFT (meta-GGA SCAN) results for GaAsRh4 at its PBEsol-relaxed geometry.

Crystal system: orthorhombic
Final energy: -29.091 eV/atom
Size of the total moment: 0.0 μB per cell
Space-group type: Pmc2_1
Calculated volume: 13.66 Å³/atom
Energy relative to the elements: -0.49 eV per atom

a = 4.009 Å, b = 5.404 Å, c = 7.568 Å
α = 90.00°, β = 90.00°, γ = 90.00°
Sites, in units of the cell vectors:
As (0.500, 0.703, 0.846)
As (0.500, 0.203, 0.154)
Rh (0.000, 0.974, 0.048)
Rh (0.000, 0.335, 0.311)
Rh (0.500, 0.040, 0.462)
Rh (0.000, 0.835, 0.689)
Rh (0.500, 0.540, 0.538)
Rh (0.000, 0.474, 0.952)
Rh (0.500, 0.158, 0.828)
Rh (0.500, 0.658, 0.172)
Ga (0.000, 0.789, 0.361)
Ga (0.000, 0.289, 0.639)

=====

Record 4
DFT (meta-GGA SCAN) results for ZnReO2 at its PBEsol-relaxed geometry.

Crystal system: trigonal
Final energy: -25.164 eV/atom
Size of the total moment: 0.0 μB per cell
Space-group type: R-3m
Formation energy without anion corrections: -86.4 kJ per mole of atoms
Calculated volume: 11.60 Å³/atom

a = 2.717 Å, b = 2.717 Å, c = 7.431 Å
α = 79.47°, β = 79.47°, γ = 60.00°
Sites, in units of the cell vectors:
O (0.104, 0.104, 0.687)
O (0.896, 0.896, 0.313)
Re (0.500, 0.500, 0.500)
Zn (0.000, 0.000, 0.000)

=====

Record 5
DFT (meta-GGA SCAN) results for ZrFeP3O12 at its PBEsol-relaxed geometry.

Crystal system: orthorhombic
Final energy: -11.514 eV/atom
Size of the total moment: 12.2 μB per cell
Space-group type: Pna2_1
Formation energy without anion corrections: -232.4 kJ per mole of atoms
Calculated volume: 12.54 Å³/atom

a = 8.448 Å, b = 8.521 Å, c = 11.843 Å
α = 90.00°, β = 90.00°, γ = 90.00°
Each line ends with the local moment (μB).
Sites, in units of the cell vectors:
O (0.611, 0.424, 0.261)  0.03
O (0.144, 0.696, 0.395)  0.07
O (0.401, 0.591, 0.973)  0.03
O (0.138, 0.634, 0.877)  0.07
O (0.471, 0.029, 0.235)  0.04
O (0.526, 0.047, 0.543)  0.08
O (0.214, 0.924, 0.153)  0.04
O (0.474, 0.953, 0.043)  0.08
O (0.529, 0.971, 0.735)  0.04
O (0.659, 0.107, 0.900)  0.12
O (0.303, 0.342, 0.581)  0.04
O (0.638, 0.866, 0.377)  0.07
O (0.889, 0.924, 0.261)  0.03
O (0.666, 0.166, 0.362)  0.07
O (0.644, 0.804, 0.895)  0.07
O (0.433, 0.735, 0.190)  0.04
O (0.111, 0.076, 0.761)  0.03
O (0.099, 0.091, 0.973)  0.03
O (0.856, 0.304, 0.895)  0.07
O (0.197, 0.842, 0.581)  0.04
O (0.159, 0.393, 0.400)  0.12
O (0.334, 0.834, 0.862)  0.07
O (0.356, 0.196, 0.395)  0.07
O (0.389, 0.576, 0.761)  0.03
O (0.803, 0.158, 0.081)  0.04
O (0.841, 0.607, 0.900)  0.12
O (0.341, 0.893, 0.400)  0.12
O (0.714, 0.576, 0.653)  0.04
O (0.599, 0.409, 0.473)  0.03
O (0.605, 0.354, 0.016)  0.03
O (0.567, 0.265, 0.690)  0.04
O (0.395, 0.646, 0.516)  0.03
O (0.971, 0.471, 0.735)  0.04
O (0.786, 0.076, 0.653)  0.04
O (0.286, 0.424, 0.153)  0.04
O (0.862, 0.366, 0.377)  0.07
O (0.362, 0.134, 0.877)  0.07
O (0.026, 0.453, 0.043)  0.08
O (0.029, 0.529, 0.235)  0.04
O (0.933, 0.765, 0.690)  0.04
O (0.974, 0.547, 0.543)  0.08
O (0.105, 0.146, 0.516)  0.03
O (0.697, 0.658, 0.081)  0.04
O (0.895, 0.854, 0.016)  0.03
O (0.166, 0.334, 0.862)  0.07
O (0.901, 0.909, 0.473)  0.03
O (0.067, 0.235, 0.190)  0.04
O (0.834, 0.666, 0.362)  0.07
P (0.679, 0.348, 0.368)  0.00
P (0.106, 0.404, 0.156)  0.00
P (0.270, 0.764, 0.478)  0.00
P (0.394, 0.904, 0.156)  0.00
P (0.894, 0.596, 0.656)  0.00
P (0.321, 0.652, 0.868)  0.00
P (0.606, 0.096, 0.656)  0.00
P (0.179, 0.152, 0.868)  0.00
P (0.770, 0.736, 0.978)  0.00
P (0.730, 0.236, 0.978)  0.00
P (0.230, 0.264, 0.478)  0.00
P (0.821, 0.848, 0.368)  0.00
Zr (0.496, 0.480, 0.622)  0.00
Zr (0.504, 0.520, 0.122)  0.00
Zr (0.996, 0.020, 0.122)  0.00
Zr (0.004, 0.980, 0.622)  0.00
Fe (0.000, 0.533, 0.388)  2.25
Fe (0.500, 0.967, 0.888)  2.25
Fe (0.000, 0.467, 0.888)  2.25
Fe (0.500, 0.033, 0.388)  2.25

=====

Record 6
DFT (meta-GGA SCAN) results for ZrPRh at its PBEsol-relaxed geometry.

Crystal system: orthorhombic
Final energy: -26.381 eV/atom
Size of the total moment: 0.0 μB per cell
Space-group type: Pnma
Calculated volume: 14.91 Å³/atom
Energy relative to the elements: -1.42 eV per atom

a = 3.771 Å, b = 6.449 Å, c = 7.356 Å
α = 90.00°, β = 90.00°, γ = 90.00°
Sites, in units of the cell vectors:
Zr (0.750, 0.473, 0.320)
Zr (0.750, 0.973, 0.180)
Zr (0.250, 0.027, 0.820)
Zr (0.250, 0.527, 0.680)
P (0.750, 0.738, 0.877)
P (0.250, 0.762, 0.377)
P (0.750, 0.238, 0.623)
P (0.250, 0.262, 0.123)
Rh (0.750, 0.857, 0.562)
Rh (0.250, 0.143, 0.438)
Rh (0.250, 0.643, 0.062)
Rh (0.750, 0.357, 0.938)